Computed, not measured: an optimized crystal structure of Al2ReGe at the PBE level of DFT.

Calculated density, Mg/m³: 4.9
Calculated volume, A^3/atom: 26.8
DFT formation energy, eV/atom: 0.352
Total DFT energy (no corrections), eV per cell: -46.28
Density of states at the Fermi level, states/eV per cell: 3.84
Total magnetization, μB/atom: 0.000
Symmetry: No. 141

Cell lengths 9.443, 9.443, 7.095 Å; angles 48.28, 48.28, 90.00 degrees
Element x y z (fractional)
Ge 0.500 0.500 0.000
Al 0.375 0.125 0.750
Re 0.750 0.250 0.500
Al 0.875 0.125 0.750
Re 0.000 0.000 0.000
Al 0.875 0.125 0.250
Ge 0.250 0.750 0.500
Al 0.875 0.625 0.250



Computed, not measured: an optimized crystal structure of Sr2NbP2 at the PBE level of DFT.

Calculated density, Mg/m³: 4.7
Calculated volume, A^3/atom: 23.4
DFT formation energy, eV/atom: -0.565
Total DFT energy (no corrections), eV per cell: -54.16
Density of states at the Fermi level, states/eV per cell: 7.29
Total magnetization, μB/atom: 0.000
Symmetry: No. 127

Cell lengths 7.175, 7.175, 4.553 Å; angles 90.00, 90.00, 90.00 degrees
Element x y z (fractional)
Nb 0.000 0.000 0.000
Sr 0.154 0.654 0.500
P 0.834 0.666 0.000
Sr 0.654 0.846 0.500
P 0.334 0.834 0.000
P 0.166 0.334 0.000
Sr 0.346 0.154 0.500
Nb 0.500 0.500 0.000
P 0.666 0.166 0.000
Sr 0.846 0.346 0.500



Computed, not measured: an optimized crystal structure of CsMgCu2Mo at the PBE level of DFT.

Calculated density, Mg/m³: 5.4
Calculated volume, A^3/atom: 23.2
DFT formation energy, eV/atom: 1.394
Total DFT energy (no corrections), eV per cell: -14.50
Density of states at the Fermi level, states/eV per cell: 2.95
Total magnetization, μB/atom: 0.646
Symmetry: No. 123

Cell lengths 4.817, 4.995, 4.817 Å; angles 90.00, 90.00, 90.00 degrees
Element x y z (fractional)
Mo 0.000 0.500 0.000
Mg 0.000 0.000 0.000
Cs 0.500 0.500 0.500
Cu 0.000 0.000 0.500
Cu 0.500 0.000 0.000



Question: Which formula does entry 1 have?
Answer: Al2ReGe